[1]
Material: Hf4Sc2Ge3C3
Method: DFT, PBE-GGA
State: optimized geometry

a b c (Å): 5.728 5.728 14.065
angles (deg): 101.77 101.77 60.05
Element x y z (fractional)
Hf (0.027, 0.200, 0.090)
Hf (0.141, 0.304, 0.410)
Hf (0.200, 0.027, 0.590)
Hf (0.304, 0.141, 0.910)
Hf (0.696, 0.859, 0.090)
Hf (0.800, 0.973, 0.410)
Hf (0.859, 0.696, 0.590)
Hf (0.973, 0.800, 0.910)
Sc (0.368, 0.532, 0.094)
Sc (0.468, 0.632, 0.406)
Sc (0.532, 0.368, 0.594)
Sc (0.632, 0.468, 0.906)
Ge (0.066, 0.934, 0.250)
Ge (0.236, 0.422, 0.749)
Ge (0.422, 0.236, 0.249)
Ge (0.578, 0.764, 0.751)
Ge (0.764, 0.578, 0.251)
Ge (0.934, 0.066, 0.750)
C (0.000, 0.500, 0.000)
C (0.159, 0.670, 0.500)
C (0.330, 0.841, 0.000)
C (0.500, 0.000, 0.500)
C (0.670, 0.159, 0.000)
C (0.841, 0.330, 0.500)

Results
**Calculated total energy**: -207.175 eV/cell

=====

[2]
Material: ScCoCuPb
Method: DFT, PBE-GGA
State: optimized geometry

a b c (Å): 6.511 6.511 6.511
angles (deg): 90.00 90.00 90.00
Element x y z (fractional)
Sc (0.000, 0.000, 0.000)
Sc (0.000, 0.500, 0.500)
Sc (0.500, 0.000, 0.500)
Sc (0.500, 0.500, 0.000)
Co (0.250, 0.250, 0.750)
Co (0.250, 0.750, 0.250)
Co (0.750, 0.250, 0.250)
Co (0.750, 0.750, 0.750)
Cu (0.000, 0.000, 0.500)
Cu (0.000, 0.500, 0.000)
Cu (0.500, 0.000, 0.000)
Cu (0.500, 0.500, 0.500)
Pb (0.250, 0.250, 0.250)
Pb (0.250, 0.750, 0.750)
Pb (0.750, 0.250, 0.750)
Pb (0.750, 0.750, 0.250)

Results
**Calculated total energy**: -81.129 eV/cell

=====

[3]
Material: YZnGa2Pd4
Method: DFT, PBE-GGA
State: optimized geometry

a b c (Å): 4.503 4.503 6.502
angles (deg): 90.00 90.00 90.00
Element x y z (fractional)
Y (0.000, 0.000, 0.000)
Zn (0.500, 0.500, 0.500)
Ga (0.000, 0.000, 0.500)
Ga (0.500, 0.500, 0.000)
Pd (0.000, 0.500, 0.276)
Pd (0.000, 0.500, 0.724)
Pd (0.500, 0.000, 0.276)
Pd (0.500, 0.000, 0.724)

Results
**Calculated total energy**: -39.846 eV/cell

=====

[4]
Material: PrOsPt
Method: DFT, PBE-GGA
State: optimized geometry

a b c (Å): 6.573 6.573 6.573
angles (deg): 90.00 90.00 90.00
Element x y z (fractional)
Pr (0.000, 0.000, 0.000)
Pr (0.000, 0.500, 0.500)
Pr (0.500, 0.000, 0.500)
Pr (0.500, 0.500, 0.000)
Os (0.250, 0.250, 0.250)
Os (0.250, 0.750, 0.750)
Os (0.750, 0.250, 0.750)
Os (0.750, 0.750, 0.250)
Pt (0.250, 0.250, 0.750)
Pt (0.250, 0.750, 0.250)
Pt (0.750, 0.250, 0.250)
Pt (0.750, 0.750, 0.750)

Results
**Energy of formation from the pure elements**: 90.6 kJ per mole of atoms

=====

[5]
Material: HfTcW2
Method: DFT, PBE-GGA
State: optimized geometry

a b c (Å): 6.427 6.427 6.427
angles (deg): 90.00 90.00 90.00
Element x y z (fractional)
Hf (0.000, 0.000, 0.000)
Hf (0.000, 0.500, 0.500)
Hf (0.500, 0.000, 0.500)
Hf (0.500, 0.500, 0.000)
Tc (0.250, 0.250, 0.750)
Tc (0.250, 0.750, 0.250)
Tc (0.750, 0.250, 0.250)
Tc (0.750, 0.750, 0.750)
W (0.000, 0.000, 0.500)
W (0.000, 0.500, 0.000)
W (0.250, 0.250, 0.250)
W (0.250, 0.750, 0.750)
W (0.500, 0.000, 0.000)
W (0.500, 0.500, 0.500)
W (0.750, 0.250, 0.750)
W (0.750, 0.750, 0.250)

Results
**Energy of formation from the pure elements**: -13.2 kJ per mole of atoms

=====

[6]
Material: CsLaNb
Method: DFT, PBE-GGA
State: optimized geometry

a b c (Å): 7.870 7.870 7.870
angles (deg): 90.00 90.00 90.00
Element x y z (fractional)
Cs (0.000, 0.000, 0.000)
Cs (0.000, 0.500, 0.500)
Cs (0.500, 0.000, 0.500)
Cs (0.500, 0.500, 0.000)
La (0.000, 0.000, 0.500)
La (0.000, 0.500, 0.000)
La (0.500, 0.000, 0.000)
La (0.500, 0.500, 0.500)
Nb (0.250, 0.250, 0.250)
Nb (0.250, 0.750, 0.750)
Nb (0.750, 0.250, 0.750)
Nb (0.750, 0.750, 0.250)

Results
**Calculated total energy**: -44.464 eV/cell

=====

[7]
Material: La2PrCu2B2N3
Method: DFT, PBE-GGA
State: optimized geometry

a b c (Å): 10.813 10.813 10.813
angles (deg): 160.28 160.28 28.03
Element x y z (fractional)
La (0.125, 0.125, 0.000)
La (0.875, 0.875, 0.000)
Pr (0.500, 0.500, 0.000)
Cu (0.250, 0.750, 0.500)
Cu (0.750, 0.250, 0.500)
B (0.312, 0.312, 0.000)
B (0.688, 0.688, 0.000)
N (0.000, 0.000, 0.000)
N (0.381, 0.381, 0.000)
N (0.619, 0.619, 0.000)

Results
**Calculated total energy**: -69.297 eV/cell

=====

[8]
Material: Al6PtPb
Method: DFT, PBE-GGA
State: optimized geometry

a b c (Å): 6.278 6.278 6.278
angles (deg): 60.00 60.00 60.00
Element x y z (fractional)
Al (0.221, 0.221, 0.779)
Al (0.221, 0.779, 0.221)
Al (0.221, 0.779, 0.779)
Al (0.779, 0.221, 0.221)
Al (0.779, 0.221, 0.779)
Al (0.779, 0.779, 0.221)
Pt (0.500, 0.500, 0.500)
Pb (0.250, 0.250, 0.250)

Results
**Calculated total energy**: -32.787 eV/cell